# 1
TcBPdS2, optimized geometry, DFT GGA-PBEsol; E_form (uncorrected) = 9.3 eV per formula unit
1.0
4.457 0.000 0.000
0.000 4.457 0.000
0.000 0.000 5.085
Tc S Pd B
1 2 1 1
Direct
0.000 0.000 0.500
0.000 0.500 0.000
0.500 0.000 0.000
0.000 0.000 0.000
0.500 0.500 0.500

---

# 2
ZnB2SbPd, optimized geometry, DFT GGA-PBEsol; E_form (uncorrected) = 4.4 eV per formula unit
1.0
-1.143 3.156 -2.154
-3.068 -2.098 -1.446
-3.250 1.772 4.321
Zn B Pd Sb
1 2 1 1
Direct
0.500 0.500 0.500
0.500 0.000 0.000
0.000 0.500 0.000
0.000 0.000 0.000
0.000 0.000 0.500

---

Number 1: size of the total moment 4.14 μB/f.u.. Number 2: size of the total moment 0.00 μB/f.u..